Entry 1:
Here is Tl2SbSeO6 after structural relaxation from the Alexandria database. Energies are from PBE-GGA.

For the uncorrected formation energy, the calculation gives -0.654 eV per atom. The density comes out at 8.63 Mg/m³. The total energy is -4.863 eV/atom.

The structure belongs to space group I4/mmm (No. 139); the cell edges are 5.760, 5.760 and 8.181 Å and the angles 90.00°, 90.00° and 90.00°. Symmetry generates all atoms from Tl at (0.000, 0.500, 0.250), Sb at (0.000, 0.000, 0.000), Se at (0.000, 0.000, 0.500), O at (0.000, 0.000, 0.250) and O at (0.249, 0.249, 0.500).

Entry 2:
Here is Dy6BiSb3Pb2 after structural relaxation from the Alexandria database. Energies are from PBE-GGA.

For the uncorrected formation energy, the calculation gives -0.818 eV per atom. The density comes out at 8.90 Mg/m³. The total energy is -5.091 eV/atom.

The structure belongs to space group C2/m (No. 12); the cell edges are 19.561, 4.333 and 9.023 Å and the angles 90.00°, 106.72° and 90.00°. Symmetry generates all atoms from Dy at (0.000, 0.000, 0.245), Dy at (0.163, 0.500, 0.096), Dy at (0.169, 0.500, 0.583), Bi at (0.000, 0.500, 0.500), Sb at (0.000, 0.500, 0.000), Sb at (0.165, 0.000, 0.338) and Pb at (0.170, 0.000, 0.842).

Entry 3:
Here is Ca2Tb2ZnPd4 after structural relaxation from the Alexandria database. Energies are from PBE-GGA.

The value obtained for the formation energy is -0.465 eV per atom. The density comes out at 7.19 Mg/m³. The total energy is -4.388 eV/atom.

The structure belongs to space group I4/mmm (No. 139); the cell edges are 6.884, 6.884 and 8.661 Å and the angles 90.00°, 90.00° and 90.00°. Symmetry generates all atoms from Ca at (0.000, 0.500, 0.250), Tb at (0.000, 0.000, 0.188), Zn at (0.000, 0.000, 0.500) and Pd at (0.240, 0.240, 0.000).

Entry 4:
Here is NdPd6Pb after structural relaxation from the Alexandria database. Energies are from PBE-GGA.

The value obtained for the formation energy is -0.185 eV per atom. The density comes out at 8.80 Mg/m³. The total energy is -5.139 eV/atom. As for the energy above the most stable polymorph in this dataset: 262 kJ/mol of formula units.

The structure belongs to space group R-3m (No. 166, hexagonal axes); the cell edges are 5.4807, 5.4807 and 21.5495 Å and the angles 90.00°, 90.00° and 120.00°. Symmetry generates all atoms from Nd at (0.0000, 0.0000, 0.0000), Pd at (0.0056, 0.5028, 0.9363) and Pb at (0.0000, 0.0000, 0.5000).

Entry 5:
Here is Hg2TeRu after structural relaxation from the Alexandria database. Energies are from PBE-GGA.

For the uncorrected formation energy, the calculation gives 0.572 eV per atom. The density comes out at 12.46 Mg/m³. The total energy is -2.683 eV/atom.

The structure belongs to space group I4/mmm (No. 139); the cell edges are 4.090, 4.090 and 10.039 Å and the angles 90.00°, 90.00° and 90.00°. Symmetry generates all atoms from Hg at (0.000, 0.500, 0.250), Te at (0.000, 0.000, 0.000) and Ru at (0.000, 0.000, 0.500).

Entry 6:
Here is NbAlF2 after structural relaxation from the Alexandria database. Energies are from PBE-GGA.

For the uncorrected formation energy, the calculation gives -1.410 eV per atom. The density comes out at 4.97 Mg/m³. The total energy is -5.799 eV/atom. As for the energy above the most stable polymorph in this dataset: 0 kJ/mol of formula units.

The structure belongs to space group R-3m (No. 166, hexagonal axes); the cell edges are 2.7935, 2.7935 and 23.4111 Å and the angles 90.00°, 90.00° and 120.00°. Symmetry generates all atoms from Nb at (0.0000, 0.0000, 0.0000), Al at (0.0000, 0.0000, 0.5000) and F at (0.0000, 0.0000, 0.4188).

Entry 7:
Here is KBaPb2 after structural relaxation from the Alexandria database. Energies are from PBE-GGA.

The value obtained for the formation energy is -0.149 eV per atom. The density comes out at 5.52 Mg/m³. The total energy is -2.758 eV/atom. As for the energy above the most stable polymorph in this dataset: 88 kJ/mol of formula units.

The structure belongs to space group Cmm2 (No. 35); the cell edges are 5.792, 6.044 and 10.153 Å and the angles 90.00°, 90.00° and 90.00°. Symmetry generates all atoms from K at (0.000, 0.000, 0.000), Ba at (0.000, 0.500, 0.386), Pb at (0.000, 0.000, 0.613) and Pb at (0.000, 0.500, 0.759).

Entry 8:
Here is Ca2YRe after structural relaxation from the Alexandria database. Energies are from PBE-GGA.

The value obtained for the formation energy is 0.466 eV per atom. The density comes out at 4.66 Mg/m³. The total energy is -5.262 eV/atom. As for the energy above the most stable polymorph in this dataset: 31 kJ/mol of formula units.

The structure belongs to space group Immm (No. 71); the cell edges are 3.337, 4.785 and 15.851 Å and the angles 90.00°, 90.00° and 90.00°. Symmetry generates all atoms from Ca at (0.000, 0.000, 0.162), Y at (0.000, 0.500, 0.000) and Re at (0.000, 0.500, 0.500).